The following is a PBE calculation of a relaxed structure of Sm2GaIr, from the Alexandria database.

The structure in CIF format:
```
data_Sm2GaIr
_space_group_name_H-M_alt 'P 1'
_space_group_IT_number 1
_space_group_name_Hall 'P 1'
_cell_length_a 4.3368
_cell_length_b 5.9159
_cell_length_c 8.1894
_cell_angle_alpha 113.85
_cell_angle_beta 90.00
_cell_angle_gamma 90.00
loop_
_atom_site_label
_atom_site_fract_x
_atom_site_fract_y
_atom_site_fract_z
Sm1 0.2500 0.7679 0.0873
Sm2 0.2500 0.7901 0.5618
Sm3 0.7500 0.2099 0.4382
Sm4 0.7500 0.2321 0.9127
Ga1 0.7500 0.6594 0.7898
Ga2 0.2500 0.3406 0.2102
Ir1 0.2500 0.3620 0.7163
Ir2 0.7500 0.6380 0.2837
```

Values from the calculation:
- Volume: 96.1 Å³/f.u.
- Space group: P2_1/m
- Magnetic moment: 0.00 μB/cell
- Energy of formation: -0.6928 eV per atom

***

The following is a PBE calculation of a relaxed structure of Sm3GaIr3, from the Alexandria database.

The structure in CIF format:
```
data_Sm3GaIr3
_space_group_name_H-M_alt 'P 1'
_space_group_IT_number 1
_space_group_name_Hall 'P 1'
_cell_length_a 4.1947
_cell_length_b 5.6377
_cell_length_c 13.9158
_cell_angle_alpha 90.00
_cell_angle_beta 90.00
_cell_angle_gamma 111.84
loop_
_atom_site_label
_atom_site_fract_x
_atom_site_fract_y
_atom_site_fract_z
Sm1 0.2070 0.4140 0.8938
Sm2 0.7930 0.5860 0.3938
Sm3 0.4877 0.9754 0.7500
Sm4 0.2070 0.4140 0.6062
Sm5 0.5123 0.0246 0.2500
Sm6 0.7930 0.5860 0.1062
Ga1 0.5000 0.0000 0.0000
Ga2 0.5000 0.0000 0.5000
Ir1 0.9179 0.8357 0.9117
Ir2 0.9179 0.8357 0.5883
Ir3 0.0821 0.1643 0.4117
Ir4 0.7714 0.5428 0.7500
Ir5 0.2286 0.4572 0.2500
Ir6 0.0821 0.1643 0.0883
```

Values from the calculation:
- Volume: 152.7 Å³/f.u.
- Space group: Cmcm
- Magnetic moment: 0.00 μB/cell
- Energy of formation: -0.7667 eV per atom

***

The following is a PBE calculation of a relaxed structure of Sm3Ga3Ir2, from the Alexandria database.

The structure in CIF format:
```
data_Sm3Ga3Ir2
_space_group_name_H-M_alt 'P 1'
_space_group_IT_number 1
_space_group_name_Hall 'P 1'
_cell_length_a 5.7641
_cell_length_b 7.9469
_cell_length_c 15.1982
_cell_angle_alpha 90.00
_cell_angle_beta 90.00
_cell_angle_gamma 90.00
loop_
_atom_site_label
_atom_site_fract_x
_atom_site_fract_y
_atom_site_fract_z
Sm1 0.3867 0.9665 0.1080
Sm2 0.6133 0.0335 0.8920
Sm3 0.1133 0.4665 0.3920
Sm4 0.1133 0.4665 0.1080
Sm5 0.3723 0.6646 0.7500
Sm6 0.6133 0.0335 0.6080
Sm7 0.8867 0.5335 0.6080
Sm8 0.8867 0.5335 0.8920
Sm9 0.1277 0.1646 0.7500
Sm10 0.8723 0.8354 0.2500
Sm11 0.6277 0.3354 0.2500
Sm12 0.3867 0.9665 0.3920
Ga1 0.6191 0.3245 0.7500
Ga2 0.3987 0.6699 0.5383
Ga3 0.6013 0.3301 0.4617
Ga4 0.8987 0.8301 0.0383
Ga5 0.1013 0.1699 0.9617
Ga6 0.8809 0.8245 0.7500
Ga7 0.3809 0.6755 0.2500
Ga8 0.1013 0.1699 0.5383
Ga9 0.3987 0.6699 0.9617
Ga10 0.8987 0.8301 0.4617
Ga11 0.1191 0.1755 0.2500
Ga12 0.6013 0.3301 0.0383
Ir1 0.1232 0.8770 0.6064
Ir2 0.3768 0.3770 0.8936
Ir3 0.8768 0.1230 0.3936
Ir4 0.6232 0.6230 0.1064
Ir5 0.1232 0.8770 0.8936
Ir6 0.3768 0.3770 0.6064
Ir7 0.6232 0.6230 0.3936
Ir8 0.8768 0.1230 0.1064
```

Values from the calculation:
- Volume: 174.0 Å³/f.u.
- Space group: Pnma
- Magnetic moment: 0.00 μB/cell
- Energy of formation: -0.7384 eV per atom

***

The following is a PBE calculation of a relaxed structure of SmGa2Ir, from the Alexandria database.

The structure in CIF format:
```
data_SmGa2Ir
_space_group_name_H-M_alt 'P 1'
_space_group_IT_number 1
_space_group_name_Hall 'P 1'
_cell_length_a 4.3767
_cell_length_b 6.8445
_cell_length_c 10.4646
_cell_angle_alpha 90.00
_cell_angle_beta 90.00
_cell_angle_gamma 90.00
loop_
_atom_site_label
_atom_site_fract_x
_atom_site_fract_y
_atom_site_fract_z
Ga1 0.2500 0.2728 0.9350
Ga2 0.7500 0.2272 0.4350
Ga3 0.7500 0.7272 0.0650
Ga4 0.2500 0.3874 0.3245
Ga5 0.2500 0.8874 0.1755
Ga6 0.7500 0.6126 0.6755
Ga7 0.2500 0.7728 0.5650
Ga8 0.7500 0.1126 0.8245
Ir1 0.7500 0.4718 0.8951
Ir2 0.2500 0.5282 0.1049
Ir3 0.2500 0.0282 0.3951
Ir4 0.7500 0.9718 0.6049
Sm1 0.2500 0.2901 0.6420
Sm2 0.7500 0.2099 0.1420
Sm3 0.7500 0.7099 0.3580
Sm4 0.2500 0.7901 0.8580
```

Values from the calculation:
- Volume: 78.4 Å³/f.u.
- Space group: Pnma
- Magnetic moment: 0.00 μB/cell
- Energy of formation: -0.6909 eV per atom

***

The following is a PBE calculation of a relaxed structure of Sm6GaIr3, from the Alexandria database.

The structure in CIF format:
```
data_Sm6GaIr3
_space_group_name_H-M_alt 'P 1'
_space_group_IT_number 1
_space_group_name_Hall 'P 1'
_cell_length_a 4.4865
_cell_length_b 10.5714
_cell_length_c 12.1238
_cell_angle_alpha 111.32
_cell_angle_beta 90.00
_cell_angle_gamma 90.00
loop_
_atom_site_label
_atom_site_fract_x
_atom_site_fract_y
_atom_site_fract_z
Sm1 0.7500 0.8372 0.8007
Sm2 0.2500 0.5280 0.3919
Sm3 0.7500 0.4132 0.0738
Sm4 0.2500 0.1320 0.9012
Sm5 0.7500 0.8680 0.0988
Sm6 0.2500 0.1628 0.1993
Sm7 0.7500 0.4720 0.6081
Sm8 0.2500 0.2612 0.6876
Sm9 0.7500 0.7388 0.3124
Sm10 0.2500 0.8845 0.5683
Sm11 0.2500 0.5868 0.9262
Sm12 0.7500 0.1155 0.4317
Ir1 0.2500 0.8883 0.9577
Ir2 0.7500 0.4000 0.8254
Ir3 0.2500 0.6000 0.1746
Ir4 0.2500 0.3040 0.4712
Ir5 0.7500 0.1117 0.0423
Ir6 0.7500 0.6960 0.5288
Ga1 0.2500 0.9185 0.2923
Ga2 0.7500 0.0815 0.7077
```

Values from the calculation:
- Volume: 267.8 Å³/f.u.
- Space group: P2_1/m
- Magnetic moment: 0.00 μB/cell
- Energy of formation: -0.5711 eV per atom

***

The following is a PBE calculation of a relaxed structure of Sm4GaIr, from the Alexandria database.

The structure in CIF format:
```
data_Sm4GaIr
_space_group_name_H-M_alt 'P 1'
_space_group_IT_number 1
_space_group_name_Hall 'P 1'
_cell_length_a 9.7205
_cell_length_b 9.7204
_cell_length_c 9.7204
_cell_angle_alpha 60.00
_cell_angle_beta 60.00
_cell_angle_gamma 60.00
loop_
_atom_site_label
_atom_site_fract_x
_atom_site_fract_y
_atom_site_fract_z
Sm1 0.8106 0.1894 0.8106
Sm2 0.5550 0.9450 0.5550
Sm3 0.8106 0.8106 0.1894
Sm4 0.5550 0.9450 0.9450
Sm5 0.1894 0.8106 0.8106
Sm6 0.9450 0.9450 0.5550
Sm7 0.3974 0.3974 0.8079
Sm8 0.1894 0.8106 0.1894
Sm9 0.1894 0.1894 0.8106
Sm10 0.8106 0.1894 0.1894
Sm11 0.9450 0.5550 0.9450
Sm12 0.3974 0.3974 0.3974
Sm13 0.5550 0.5550 0.9450
Sm14 0.3974 0.8079 0.3974
Sm15 0.8079 0.3974 0.3974
Sm16 0.9450 0.5550 0.5550
Ga1 0.1693 0.1693 0.4921
Ga2 0.4921 0.1693 0.1693
Ga3 0.1693 0.4921 0.1693
Ga4 0.1693 0.1693 0.1693
Ir1 0.6080 0.6080 0.6080
Ir2 0.1760 0.6080 0.6080
Ir3 0.6080 0.6080 0.1760
Ir4 0.6080 0.1760 0.6080
```

Values from the calculation:
- Volume: 162.4 Å³/f.u.
- Space group: F-43m
- Magnetic moment: 0.00 μB/cell
- Energy of formation: -0.5119 eV per atom

***

The following is a PBE calculation of a relaxed structure of Sm5Ga2Ir, from the Alexandria database.

The structure in CIF format:
```
data_Sm5Ga2Ir
_space_group_name_H-M_alt 'P 1'
_space_group_IT_number 1
_space_group_name_Hall 'P 1'
_cell_length_a 4.6887
_cell_length_b 7.5843
_cell_length_c 12.1637
_cell_angle_alpha 90.00
_cell_angle_beta 90.00
_cell_angle_gamma 90.00
loop_
_atom_site_label
_atom_site_fract_x
_atom_site_fract_y
_atom_site_fract_z
Ga1 0.5000 0.4290 0.8336
Ga2 0.5000 0.0710 0.3336
Ga3 0.5000 0.5710 0.1664
Ga4 0.5000 0.9290 0.6664
Ir1 0.0000 0.5000 0.5000
Ir2 0.0000 0.0000 0.0000
Sm1 0.5000 0.3153 0.5790
Sm2 0.0000 0.6455 0.7091
Sm3 0.5000 0.1847 0.0790
Sm4 0.0000 0.1455 0.7909
Sm5 0.5000 0.8153 0.9210
Sm6 0.0000 0.5000 0.0000
Sm7 0.0000 0.8545 0.2091
Sm8 0.0000 0.0000 0.5000
Sm9 0.5000 0.6847 0.4210
Sm10 0.0000 0.3545 0.2909
```

Values from the calculation:
- Volume: 216.3 Å³/f.u.
- Space group: Pbam
- Magnetic moment: 0.00 μB/cell
- Energy of formation: -0.5383 eV per atom

***

The following is a PBE calculation of a relaxed structure of Sm3Ga5Ir6, from the Alexandria database.

The structure in CIF format:
```
data_Sm3Ga5Ir6
_space_group_name_H-M_alt 'P 1'
_space_group_IT_number 1
_space_group_name_Hall 'P 1'
_cell_length_a 4.2872
_cell_length_b 9.1279
_cell_length_c 12.9163
_cell_angle_alpha 90.00
_cell_angle_beta 90.00
_cell_angle_gamma 90.00
loop_
_atom_site_label
_atom_site_fract_x
_atom_site_fract_y
_atom_site_fract_z
Sm1 0.5000 0.7679 0.5000
Sm2 0.0000 0.2321 0.0000
Sm3 0.5000 0.7546 0.8039
Sm4 0.5000 0.7546 0.1961
Sm5 0.0000 0.2454 0.6961
Sm6 0.0000 0.2454 0.3039
Ga1 0.5000 0.4723 0.6198
Ga2 0.5000 0.1944 0.5000
Ga3 0.5000 0.4723 0.3802
Ga4 0.0000 0.5277 0.1198
Ga5 0.0000 0.8709 0.6555
Ga6 0.0000 0.5277 0.8802
Ga7 0.0000 0.8056 0.0000
Ga8 0.5000 0.1291 0.1555
Ga9 0.5000 0.1291 0.8445
Ga10 0.0000 0.8709 0.3445
Ir1 0.5000 0.4041 0.1854
Ir2 0.5000 0.9609 0.0000
Ir3 0.5000 0.0179 0.3383
Ir4 0.5000 0.0179 0.6617
Ir5 0.5000 0.5752 0.0000
Ir6 0.0000 0.9821 0.1617
Ir7 0.0000 0.4248 0.5000
Ir8 0.0000 0.5959 0.3146
Ir9 0.0000 0.9821 0.8383
Ir10 0.5000 0.4041 0.8146
Ir11 0.0000 0.5959 0.6854
Ir12 0.0000 0.0391 0.5000
```

Values from the calculation:
- Volume: 252.7 Å³/f.u.
- Space group: Pmmn
- Magnetic moment: 0.00 μB/cell
- Energy of formation: -0.6752 eV per atom

***

The following is a PBE calculation of a relaxed structure of SmGa6Ir3, from the Alexandria database.

The structure in CIF format:
```
data_SmGa6Ir3
_space_group_name_H-M_alt 'P 1'
_space_group_IT_number 1
_space_group_name_Hall 'P 1'
_cell_length_a 4.2550
_cell_length_b 8.5082
_cell_length_c 9.7391
_cell_angle_alpha 85.16
_cell_angle_beta 90.00
_cell_angle_gamma 90.00
loop_
_atom_site_label
_atom_site_fract_x
_atom_site_fract_y
_atom_site_fract_z
Ga1 0.7500 0.4605 0.0918
Ga2 0.2500 0.3060 0.7387
Ga3 0.7500 0.1679 0.3903
Ga4 0.2500 0.3184 0.2256
Ga5 0.7500 0.8746 0.0273
Ga6 0.7500 0.4328 0.5748
Ga7 0.7500 0.6940 0.2613
Ga8 0.2500 0.1254 0.9727
Ga9 0.2500 0.8321 0.6097
Ga10 0.2500 0.5672 0.4252
Ga11 0.2500 0.5395 0.9082
Ga12 0.7500 0.6816 0.7744
Ir1 0.2500 0.8411 0.8767
Ir2 0.7500 0.1589 0.1233
Ir3 0.2500 0.2658 0.4911
Ir4 0.2500 0.6236 0.1480
Ir5 0.7500 0.3764 0.8520
Ir6 0.7500 0.7342 0.5089
Sm1 0.7500 0.0525 0.7123
Sm2 0.2500 0.9475 0.2877
```

Values from the calculation:
- Volume: 175.7 Å³/f.u.
- Space group: P2_1/m
- Magnetic moment: 0.00 μB/cell
- Energy of formation: -0.5304 eV per atom

***

The following is a PBE calculation of a relaxed structure of Sm4GaIr3, from the Alexandria database.

The structure in CIF format:
```
data_Sm4GaIr3
_space_group_name_H-M_alt 'P 1'
_space_group_IT_number 1
_space_group_name_Hall 'P 1'
_cell_length_a 3.9736
_cell_length_b 4.3585
_cell_length_c 10.8007
_cell_angle_alpha 90.00
_cell_angle_beta 90.00
_cell_angle_gamma 90.00
loop_
_atom_site_label
_atom_site_fract_x
_atom_site_fract_y
_atom_site_fract_z
Ir1 0.5000 0.0000 0.9342
Ir2 0.0000 0.5000 0.5811
Ir3 0.0000 0.0000 0.4170
Sm1 0.0000 0.5000 0.8479
Sm2 0.5000 0.0000 0.6413
Sm3 0.5000 0.5000 0.3674
Sm4 0.0000 0.0000 0.1453
Ga1 0.5000 0.5000 0.0658
```

Values from the calculation:
- Volume: 187.1 Å³/f.u.
- Space group: Pmm2
- Magnetic moment: 0.00 μB/cell
- Energy of formation: -0.6885 eV per atom

***

The following is a PBE calculation of a relaxed structure of Sm3Ga9Ir2, from the Alexandria database.

The structure in CIF format:
```
data_Sm3Ga9Ir2
_space_group_name_H-M_alt 'P 1'
_space_group_IT_number 1
_space_group_name_Hall 'P 1'
_cell_length_a 4.3027
_cell_length_b 8.2060
_cell_length_c 8.2060
_cell_angle_alpha 71.36
_cell_angle_beta 74.80
_cell_angle_gamma 74.80
loop_
_atom_site_label
_atom_site_fract_x
_atom_site_fract_y
_atom_site_fract_z
Sm1 0.7011 0.2989 0.2989
Sm2 0.0000 0.0000 0.0000
Sm3 0.2989 0.7011 0.7011
Ga1 0.3447 0.2924 0.0182
Ga2 0.6553 0.9818 0.7076
Ga3 0.3447 0.0182 0.2924
Ga4 0.6553 0.7076 0.9818
Ga5 0.8673 0.4142 0.8511
Ga6 0.1327 0.5858 0.1489
Ga7 0.0000 0.5000 0.5000
Ga8 0.8673 0.8511 0.4142
Ga9 0.1327 0.1489 0.5858
Ir1 0.5000 0.3184 0.6816
Ir2 0.5000 0.6816 0.3184
```

Values from the calculation:
- Volume: 259.8 Å³/f.u.
- Space group: Immm
- Magnetic moment: 0.00 μB/cell
- Energy of formation: -0.6199 eV per atom

***

The following is a PBE calculation of a relaxed structure of Sm6Ga2Ir, from the Alexandria database.

The structure in CIF format:
```
data_Sm6Ga2Ir
_space_group_name_H-M_alt 'P 1'
_space_group_IT_number 1
_space_group_name_Hall 'P 1'
_cell_length_a 6.0277
_cell_length_b 8.5918
_cell_length_c 9.9024
_cell_angle_alpha 90.00
_cell_angle_beta 85.95
_cell_angle_gamma 90.00
loop_
_atom_site_label
_atom_site_fract_x
_atom_site_fract_y
_atom_site_fract_z
Sm1 0.1038 0.0291 0.7650
Sm2 0.6038 0.4709 0.2650
Sm3 0.5990 0.1700 0.5604
Sm4 0.3962 0.5291 0.7350
Sm5 0.3912 0.8189 0.0559
Sm6 0.1088 0.3189 0.4441
Sm7 0.8962 0.9709 0.2350
Sm8 0.9010 0.6700 0.9396
Sm9 0.8912 0.6811 0.5559
Sm10 0.0990 0.3300 0.0604
Sm11 0.6088 0.1811 0.9441
Sm12 0.4010 0.8300 0.4396
Ga1 0.9203 0.3741 0.7527
Ga2 0.0797 0.6259 0.2473
Ga3 0.5797 0.8741 0.7473
Ga4 0.4203 0.1259 0.2527
Ir1 0.5000 0.5000 0.0000
Ir2 0.0000 0.0000 0.5000
```

Values from the calculation:
- Volume: 255.8 Å³/f.u.
- Space group: P2_1/c
- Magnetic moment: 0.00 μB/cell
- Energy of formation: -0.3899 eV per atom

***

Question: energy of formation of number 10 (Sm4GaIr3)?
Answer: -0.6885 eV per atom

***

Question: Look up the energy of formation of the sixth one.
Answer: -0.5119 eV per atom

***

Question: Among the records above, which one has the highest volume?
Answer: Sm6GaIr3